(1)
Below is a geometry-optimized YHo2Tm structure, with properties calculated at the PBE-GGA level. Values from VASP.

Structure (Quantum ESPRESSO input):
```
&SYSTEM
  ibrav = 0, nat = 4, ntyp = 3
/
ATOMIC_SPECIES
Y 88.91 Y.upf
Ho 164.93 Ho.upf
Tm 168.93 Tm.upf
ATOMIC_POSITIONS crystal
Y 0.0000 0.0000 0.0000
Ho 0.2500 0.2500 0.2500
Ho 0.7500 0.7500 0.7500
Tm 0.5000 0.5000 0.5000
CELL_PARAMETERS angstrom
0.0000 3.9841 3.9841
3.9841 0.0000 3.9841
3.9841 3.9841 0.0000
```

Calculated values
Raw total energy (eV for the cell shown): -19.528


(2)
Below is a geometry-optimized KGaMo2 structure, with properties calculated at the PBE-GGA level. Values from VASP.

Structure (Quantum ESPRESSO input):
```
&SYSTEM
  ibrav = 0, nat = 8, ntyp = 3
/
ATOMIC_SPECIES
K 39.10 K.upf
Ga 69.72 Ga.upf
Mo 95.94 Mo.upf
ATOMIC_POSITIONS crystal
K 0.0000 0.0000 0.0000
K 0.7500 0.2500 0.5000
Ga 0.2500 0.7500 0.5000
Ga 0.5000 0.5000 0.0000
Mo 0.2850 0.6250 0.1600
Mo 0.3750 0.5350 0.6600
Mo 0.4650 0.1250 0.8400
Mo 0.8750 0.7150 0.3400
CELL_PARAMETERS angstrom
-2.2483 2.2483 9.7197
2.2483 -2.2483 9.7197
2.2483 2.2483 -9.7197
```

Calculated values
Raw total energy (eV for the cell shown): -41.670